A plane-wave DFT calculation with SCAN was carried out for Re2Tc at its PBEsol-relaxed geometry.

abc: 6.1163 6.1163 6.1163
angles: 154.19 154.19 36.83
Fractional coordinates of all 3 atoms:
Re1 0.1655 0.1655 0.0000
Re2 0.8345 0.8345 0.0000
Tc1 0.5000 0.5000 0.0000

Values from the calculation:
Electronic total energy ... -177.11 eV/cell
Symmetry ... No. 139
Spin magnetization ... 0.000 Bohr magnetons per cell
ΔH_f (0 K) ... 47 meV/atom
DOS(E_F) ... 2.366 states/eV/f.u.